Entry 1:
Entry from Alexandria: K2HgI after structural relaxation (PBE).

Computed properties:
Energy above the lowest structure with this stoichiometry   36.9 meV/atom
E   -7.0 eV per cell
Energy relative to the elements, uncorrected   -0.747 eV/atom

a = 9.224 Å, b = 9.224 Å, c = 9.224 Å
α = 30.90°, β = 30.90°, γ = 30.90°
Fractional positions:
K  0.248  0.248  0.248
K  0.752  0.752  0.752
Hg  0.000  0.000  0.000
I  0.500  0.500  0.500



Entry 2:
Entry from Alexandria: K2HgI4 after structural relaxation (PBE).

Computed properties:
Energy above the lowest structure with this stoichiometry   3.0 meV/atom
E   -30.9 eV per cell
Energy relative to the elements, uncorrected   -0.968 eV/atom

a = 8.237 Å, b = 8.420 Å, c = 9.716 Å
α = 90.00°, β = 107.25°, γ = 90.00°
Fractional positions:
K  0.226  0.250  0.054
K  0.227  0.250  0.560
K  0.773  0.750  0.440
K  0.774  0.750  0.946
Hg  0.241  0.750  0.310
Hg  0.759  0.250  0.690
I  0.001  0.508  0.752
I  0.001  0.992  0.752
I  0.431  0.750  0.111
I  0.435  0.750  0.603
I  0.565  0.250  0.397
I  0.569  0.250  0.889
I  0.999  0.008  0.248
I  0.999  0.492  0.248